# 1
Below is crystalline PrSmRhCl at its relaxed geometry, with properties calculated at the PBE level.

Structure (CIF):
```
data_PrSmRhCl
_space_group_name_H-M_alt 'R 3 m'
_space_group_IT_number 160
_space_group_name_Hall 'R 3 -2"'
_cell_length_a 4.0509
_cell_length_b 4.0509
_cell_length_c 23.1628
_cell_angle_alpha 90.00
_cell_angle_beta 90.00
_cell_angle_gamma 120.00
loop_
_atom_site_label
_atom_site_type_symbol
_atom_site_fract_x
_atom_site_fract_y
_atom_site_fract_z
Pr1 Pr 0.0000 0.0000 0.0000
Sm1 Sm 0.0000 0.0000 0.8014
Rh1 Rh 0.0000 0.0000 0.4025
Cl1 Cl 0.0000 0.0000 0.2298
```

***

# 2
Below is crystalline Pr3TeRhCl at its relaxed geometry, with properties calculated at the PBE level.

Structure (CIF):
```
data_Pr3TeRhCl
_space_group_name_H-M_alt 'P 1 21/m 1'
_space_group_IT_number 11
_cell_length_a 8.893
_cell_length_b 4.279
_cell_length_c 9.619
_cell_angle_alpha 90.00
_cell_angle_beta 102.81
_cell_angle_gamma 90.00
loop_
_space_group_symop_operation_xyz
'x,y,z'
'-x,-y,-z'
'-x,y+1/2,-z'
'x,-y+1/2,z'
loop_
_atom_site_label
_atom_site_type_symbol
_atom_site_fract_x
_atom_site_fract_y
_atom_site_fract_z
Pr1 Pr 0.064 0.250 0.342
Pr2 Pr 0.220 0.250 0.974
Pr3 Pr 0.363 0.750 0.619
Te1 Te 0.331 0.750 0.269
Rh1 Rh 0.152 0.250 0.650
Cl1 Cl 0.401 0.750 0.912
```

***

# 3
Below is crystalline PrYRhCl at its relaxed geometry, with properties calculated at the PBE level.

Structure (CIF):
```
data_PrYRhCl
_space_group_name_H-M_alt 'R 3 m'
_space_group_IT_number 160
_space_group_name_Hall 'R 3 -2"'
_cell_length_a 4.0182
_cell_length_b 4.0182
_cell_length_c 22.9888
_cell_angle_alpha 90.00
_cell_angle_beta 90.00
_cell_angle_gamma 120.00
loop_
_atom_site_label
_atom_site_type_symbol
_atom_site_fract_x
_atom_site_fract_y
_atom_site_fract_z
Pr1 Pr 0.0000 0.0000 0.0000
Y1 Y 0.0000 0.0000 0.8010
Rh1 Rh 0.0000 0.0000 0.4030
Cl1 Cl 0.0000 0.0000 0.2274
```

***

What are the final energy values for these records? In order: -69.89; -66.44; -74.99 eV per cell.
What are the magnetization values for these records? In order: 0.0; 0.0; 0.0 μB/f.u..
What are the ΔE_f (raw) values for these records? In order: -1.150; -1.090; -1.139 eV per atom.